This record from Alexandria describes a geometry-optimized PaV2F11 structure. The functional is GGA+U.

a = 8.1788 Å, b = 8.1788 Å, c = 8.1788 Å
α = 126.37°, β = 107.64°, γ = 95.97°
Last column: nearest neighbours and their distance in Å.
Fractional coordinates of all 28 atoms:
Pa (0.2500, 0.2500, 0.0000)  8 F 2.22
Pa (0.7500, 0.7500, 0.0000)  8 F 2.22
V (0.1799, 0.6328, 0.8127)  7 F 1.94-2.09
V (0.3201, 0.1328, 0.4530)  7 F 1.94-2.09
V (0.6799, 0.8672, 0.5470)  7 F 1.94-2.09
V (0.8201, 0.3671, 0.1873)  7 F 1.94-2.09
F (0.0000, 0.5000, 0.5000)  2 V 1.99
F (0.0379, 0.9517, 0.2756)  1 V 2.08, 1 Pa 2.22
F (0.0669, 0.3684, 0.1628)  1 V 2.09, 1 Pa 2.22
F (0.1761, 0.4517, 0.9139)  1 V 2.08, 1 Pa 2.22
F (0.2056, 0.9041, 0.8372)  1 V 2.09, 1 Pa 2.22
F (0.2244, 0.3645, 0.5889)  2 V 1.94-2.03
F (0.2756, 0.8645, 0.1402)  2 V 1.94-2.03
F (0.2944, 0.1316, 0.6985)  1 V 2.09, 1 Pa 2.22
F (0.3239, 0.2378, 0.2756)  1 V 2.08, 1 Pa 2.22
F (0.4331, 0.5959, 0.3015)  1 V 2.09, 1 Pa 2.22
F (0.4621, 0.7378, 0.9139)  1 V 2.08, 1 Pa 2.22
F (0.5000, 0.0000, 0.5000)  2 V 1.99
F (0.5379, 0.2622, 0.0861)  1 V 2.08, 1 Pa 2.22
F (0.5669, 0.4041, 0.6985)  1 V 2.09, 1 Pa 2.22
F (0.6761, 0.7622, 0.7244)  1 V 2.08, 1 Pa 2.22
F (0.7056, 0.8684, 0.3015)  1 V 2.09, 1 Pa 2.22
F (0.7244, 0.1355, 0.8598)  2 V 1.94-2.03
F (0.7756, 0.6355, 0.4111)  2 V 1.94-2.03
F (0.7944, 0.0959, 0.1628)  1 V 2.09, 1 Pa 2.22
F (0.8239, 0.5483, 0.0861)  1 V 2.08, 1 Pa 2.22
F (0.9331, 0.6316, 0.8372)  1 V 2.09, 1 Pa 2.22
F (0.9621, 0.0483, 0.7244)  1 V 2.08, 1 Pa 2.22

* symmetry: Ibam, No. 72
* total DFT energy (no corrections): -6.407 eV/atom
* volume: 390 Å³/cell